The following is a DFT calculation (PBE) of NdPuFeN3 after structural relaxation.

abc: 7.2473 3.3656 7.2651
angles: 90.00 99.69 90.00
Space group P2_1/m (No. 11)
Asymmetric unit:
1 Nd 0.1711 0.2500 0.2004 [2 per cell]
2 Pu 0.3496 0.7500 0.8246 [2 per cell]
3 Fe 0.0873 0.2500 0.5826 [2 per cell]
4 N 0.1292 0.2500 0.8492 [2 per cell]
5 N 0.1737 0.7500 0.4852 [2 per cell]
6 N 0.4242 0.7500 0.1363 [2 per cell]

Computed properties:
Crystal system   monoclinic
Uncorrected formation energy   -880 meV/atom